Below is a geometry-optimized Cs2Tl2FeF6 structure, with properties calculated at the GGA+U level.

```
Cs2Tl2FeF6
1.0
3.562 -5.433 0.000
3.562 5.433 0.000
-2.300 0.000 6.653
Cs Tl Fe F
2 2 1 6
Cartesian
3.562 3.422 0.000
3.562 -3.422 0.000
2.412 1.714 3.326
2.412 -1.714 3.326
-1.150 0.000 3.326
-0.226 1.518 4.541
0.553 0.000 2.001
-0.226 -1.518 4.541
5.049 1.518 2.111
4.271 0.000 4.652
5.049 -1.518 2.111
```

DOS at the Fermi energy	0.0	states/eV/f.u.
volume	257.5	Å³/cell
space-group type	C2/m (12)
electronic total energy	-4.364	eV/atom
crystal system	monoclinic